# 1
VASP calculation (PBE) on an optimized crystal structure of HoEr3Lu2Bi2Os.

**Total DFT energy (no corrections)**: -5.745 eV per atom
**V**: 489 Å³/cell
**M_tot**: 0.082 μB/cell

Cell: 4.2138 14.1870 8.1751 Å, 90.00 90.00 90.00°
Space group Amm2 (No. 38)
Symmetry-distinct sites (fractional):
Ho 0.0000 0.0000 0.0000 (multiplicity 2)
Er 0.5000 0.0000 0.6158 (multiplicity 2)
Er 0.5000 0.1925 0.0413 (multiplicity 4)
Lu 0.0000 0.1160 0.3491 (multiplicity 4)
Bi 0.0000 0.1676 0.7321 (multiplicity 4)
Os 0.5000 0.0000 0.2377 (multiplicity 2)

---

# 2
VASP calculation (PBE) on an optimized crystal structure of HoErBiO2.

**Total DFT energy (no corrections)**: -7.333 eV per atom
**V**: 197 Å³/cell
**M_tot**: 0.001 μB/cell

Cell: 3.8377 3.8377 13.3539 Å, 90.00 90.00 90.00°
Space group I4mm (No. 107)
Symmetry-distinct sites (fractional):
Ho 0.0000 0.0000 0.0000 (multiplicity 2)
Er 0.0000 0.0000 0.3363 (multiplicity 2)
Bi 0.0000 0.0000 0.6681 (multiplicity 2)
O 0.0000 0.5000 0.4172 (multiplicity 4)

---

# 3
VASP calculation (PBE) on an optimized crystal structure of HoEr5Bi2Os.

**Total DFT energy (no corrections)**: -5.736 eV per atom
**V**: 497 Å³/cell
**M_tot**: 0.067 μB/cell

Cell: 4.2253 14.2729 8.2383 Å, 90.00 90.00 90.00°
Space group Amm2 (No. 38)
Symmetry-distinct sites (fractional):
Ho 0.0000 0.0000 0.0000 (multiplicity 2)
Er 0.0000 0.1163 0.6508 (multiplicity 4)
Er 0.5000 0.0000 0.3808 (multiplicity 2)
Er 0.5000 0.1934 0.9603 (multiplicity 4)
Bi 0.0000 0.1669 0.2674 (multiplicity 4)
Os 0.5000 0.0000 0.7660 (multiplicity 2)

---

# 4
VASP calculation (PBE) on an optimized crystal structure of Ho5ErBi2Os.

**Total DFT energy (no corrections)**: -5.747 eV per atom
**V**: 500 Å³/cell
**M_tot**: 0.082 μB/cell

Cell: 4.2307 14.3046 8.2618 Å, 90.00 90.00 90.00°
Space group Amm2 (No. 38)
Symmetry-distinct sites (fractional):
Ho 0.0000 0.0000 0.0000 (multiplicity 2)
Ho 0.0000 0.1933 0.4194 (multiplicity 4)
Ho 0.5000 0.1165 0.7294 (multiplicity 4)
Er 0.5000 0.0000 0.3801 (multiplicity 2)
Bi 0.5000 0.1664 0.1131 (multiplicity 4)
Os 0.0000 0.0000 0.6118 (multiplicity 2)

---

# 5
VASP calculation (PBE) on an optimized crystal structure of Ho3Er3BiSbOs.

**Total DFT energy (no corrections)**: -5.821 eV per atom
**V**: 245 Å³/cell
**M_tot**: 0.022 μB/cell

Cell: 8.2079 8.2079 4.1954 Å, 90.00 90.00 120.00°
Space group P-6 (No. 174)
Symmetry-distinct sites (fractional):
Ho 0.0598 0.7193 0.0000 (multiplicity 3)
Er 0.4329 0.0982 0.5000 (multiplicity 3)
Bi 0.0000 0.0000 0.5000 (multiplicity 1)
Sb 0.3333 0.6667 0.5000 (multiplicity 1)
Os 0.6667 0.3333 0.0000 (multiplicity 1)

---

# 6
VASP calculation (PBE) on an optimized crystal structure of HoEr3Sc2Bi2Os.

**Total DFT energy (no corrections)**: -6.160 eV per atom
**V**: 470 Å³/cell
**M_tot**: 0.070 μB/cell

Cell: 4.1998 13.9315 8.0322 Å, 90.00 90.00 90.00°
Space group Amm2 (No. 38)
Symmetry-distinct sites (fractional):
Ho 0.0000 0.0000 0.0000 (multiplicity 2)
Er 0.5000 0.0000 0.3911 (multiplicity 2)
Er 0.5000 0.1942 0.9633 (multiplicity 4)
Sc 0.0000 0.1135 0.6573 (multiplicity 4)
Bi 0.0000 0.1692 0.2748 (multiplicity 4)
Os 0.5000 0.0000 0.7583 (multiplicity 2)

---

# 7
VASP calculation (PBE) on an optimized crystal structure of Ho3ErSc2Bi2Os.

**Total DFT energy (no corrections)**: -6.174 eV per atom
**V**: 473 Å³/cell
**M_tot**: 0.050 μB/cell

Cell: 4.2156 13.9308 8.0559 Å, 90.00 90.00 90.00°
Space group Amm2 (No. 38)
Symmetry-distinct sites (fractional):
Ho 0.0000 0.0000 0.0000 (multiplicity 2)
Ho 0.0000 0.1941 0.4274 (multiplicity 4)
Er 0.5000 0.0000 0.3898 (multiplicity 2)
Sc 0.5000 0.1127 0.7323 (multiplicity 4)
Bi 0.5000 0.1686 0.1159 (multiplicity 4)
Os 0.0000 0.0000 0.6290 (multiplicity 2)

---

# 8
VASP calculation (PBE) on an optimized crystal structure of Ho2Er3ScBi2Os.

**Total DFT energy (no corrections)**: -5.947 eV per atom
**V**: 484 Å³/cell
**M_tot**: 0.139 μB/cell

Cell: 4.1931 14.0803 8.1949 Å, 90.00 90.00 90.00°
Space group Amm2 (No. 38)
Symmetry-distinct sites (fractional):
Ho 0.0000 0.1144 0.0000 (multiplicity 4)
Er 0.5000 0.0000 0.2832 (multiplicity 2)
Er 0.5000 0.1906 0.6921 (multiplicity 4)
Sc 0.0000 0.0000 0.6491 (multiplicity 2)
Bi 0.0000 0.1651 0.3877 (multiplicity 4)
Os 0.5000 0.0000 0.8575 (multiplicity 2)

---

# 9
VASP calculation (PBE) on an optimized crystal structure of HoEr2Sc3Bi2Os.

**Total DFT energy (no corrections)**: -6.385 eV per atom
**V**: 456 Å³/cell
**M_tot**: 0.011 μB/cell

Cell: 4.2144 13.6831 7.9001 Å, 90.00 90.00 90.00°
Space group Amm2 (No. 38)
Symmetry-distinct sites (fractional):
Ho 0.0000 0.0000 0.0000 (multiplicity 2)
Er 0.0000 0.1926 0.5786 (multiplicity 4)
Sc 0.5000 0.0000 0.6109 (multiplicity 2)
Sc 0.5000 0.1119 0.2743 (multiplicity 4)
Bi 0.5000 0.1670 0.8859 (multiplicity 4)
Os 0.0000 0.0000 0.3874 (multiplicity 2)

---

# 10
VASP calculation (PBE) on an optimized crystal structure of Ho3Er3BiTeOs.

**Total DFT energy (no corrections)**: -5.730 eV per atom
**V**: 243 Å³/cell
**M_tot**: 0.029 μB/cell

Cell: 8.2459 8.2459 4.1339 Å, 90.00 90.00 120.00°
Space group P-6 (No. 174)
Symmetry-distinct sites (fractional):
Ho 0.0545 0.7189 0.0000 (multiplicity 3)
Er 0.4318 0.0972 0.5000 (multiplicity 3)
Bi 0.0000 0.0000 0.5000 (multiplicity 1)
Te 0.3333 0.6667 0.5000 (multiplicity 1)
Os 0.6667 0.3333 0.0000 (multiplicity 1)

---

# 11
VASP calculation (PBE) on an optimized crystal structure of Ho3ErTm2Bi2Os.

**Total DFT energy (no corrections)**: -5.738 eV per atom
**V**: 494 Å³/cell
**M_tot**: 0.100 μB/cell

Cell: 4.2351 14.2113 8.2058 Å, 90.00 90.00 90.00°
Space group Amm2 (No. 38)
Symmetry-distinct sites (fractional):
Ho 0.0000 0.0000 0.0000 (multiplicity 2)
Ho 0.0000 0.1925 0.5774 (multiplicity 4)
Er 0.5000 0.0000 0.6167 (multiplicity 2)
Tm 0.5000 0.1158 0.2691 (multiplicity 4)
Bi 0.5000 0.1668 0.8850 (multiplicity 4)
Os 0.0000 0.0000 0.3844 (multiplicity 2)

---

# 12
VASP calculation (PBE) on an optimized crystal structure of Ho2Er3TmBi2Os.

**Total DFT energy (no corrections)**: -5.728 eV per atom
**V**: 495 Å³/cell
**M_tot**: 0.040 μB/cell

Cell: 4.2162 14.2417 8.2418 Å, 90.00 90.00 90.00°
Space group Amm2 (No. 38)
Symmetry-distinct sites (fractional):
Ho 0.0000 0.1170 0.0000 (multiplicity 4)
Er 0.5000 0.0000 0.7316 (multiplicity 2)
Er 0.5000 0.1920 0.3094 (multiplicity 4)
Tm 0.0000 0.0000 0.3506 (multiplicity 2)
Bi 0.0000 0.1661 0.6164 (multiplicity 4)
Os 0.5000 0.0000 0.1196 (multiplicity 2)

---

Look up the V of the twelfth one.
495 Å³/cell